No. 1
# BiTe2Se

Crystalline BiTe2Se at its relaxed geometry (PBE-GGA, Alexandria via LeMat-Bulk).

abc: 5.3780 5.3780 5.3780
angles: 60.00 60.00 60.00
Closest atoms and distances in Å follow each position.
Sites, in units of the cell vectors:
Bi: 0.5000 0.5000 0.5000  8 Te 3.29
Te: 0.7500 0.7500 0.7500  4 Se 3.29, 4 Bi 3.29
Te: 0.2500 0.2500 0.2500  4 Bi 3.29, 4 Se 3.29
Se: 0.0000 0.0000 0.0000  8 Te 3.29

Calculated values
density = 8.20 g cm⁻³
total DFT energy (no corrections) = -3.1761 eV/atom
formation energy from raw total energies = 0.236 eV/atom
space group = Fm-3m (225)

No. 2
# Ce2InO

Crystalline Ce2InO at its relaxed geometry (PBE-GGA, Alexandria via LeMat-Bulk).

abc: 3.1311 3.1311 8.2282
angles: 90.00 90.00 90.00
Closest atoms and distances in Å follow each position.
Sites, in units of the cell vectors:
O: 0.5000 0.5000 0.0000  8 Ce 2.71
Ce: 0.0000 0.0000 0.8107  4 O 2.71
Ce: 0.0000 0.0000 0.1893  4 O 2.71
In: 0.5000 0.5000 0.5000  4 In 3.13, 8 Ce 3.38

Calculated values
density = 8.46 g cm⁻³
total DFT energy (no corrections) = -6.1024 eV/atom
formation energy from raw total energies = -1.211 eV/atom
space group = P4/mmm (123)

No. 3
# V4Pt3Rh2

Crystalline V4Pt3Rh2 at its relaxed geometry (PBE-GGA, Alexandria via LeMat-Bulk).

abc: 3.8125 6.0739 6.1585
angles: 107.62 108.03 90.00
Closest atoms and distances in Å follow each position.
Sites, in units of the cell vectors:
Pt: 0.0000 0.0000 0.0000  6 V 2.67-2.75, 4 Rh 2.72, 2 Pt 2.81
Pt: 0.8889 0.3482 0.7778  2 Pt 2.67-2.81, 7 V 2.67-2.74, 3 Rh 2.72-2.85
Pt: 0.1111 0.6518 0.2222  2 Pt 2.67-2.81, 7 V 2.67-2.74, 3 Rh 2.72-2.85
V: 0.7745 0.6762 0.5490  3 Rh 2.59-2.75, 4 Pt 2.67-2.75, 5 V 2.79
V: 0.4479 0.6758 0.8958  2 Rh 2.62-2.75, 6 Pt 2.67-2.74, 4 V 2.78-2.79
V: 0.5521 0.3242 0.1042  2 Rh 2.62-2.75, 6 Pt 2.67-2.74, 4 V 2.78-2.79
V: 0.2255 0.3238 0.4510  3 Rh 2.59-2.75, 4 Pt 2.67-2.75, 5 V 2.79
Rh: 0.6681 0.0198 0.3361  5 V 2.59-2.75, 5 Pt 2.72-2.85, 2 Rh 2.77
Rh: 0.3319 0.9802 0.6639  5 V 2.59-2.75, 5 Pt 2.72-2.85, 2 Rh 2.77

Calculated values
density = 12.85 g cm⁻³
formation energy from the elements = -3.8 eV per formula unit
total DFT energy (no corrections) = -8.1243 eV/atom
space group = C2/m (12)

No. 4
# TaCu2Hg

Crystalline TaCu2Hg at its relaxed geometry (PBE-GGA, Alexandria via LeMat-Bulk).

abc: 5.5174 5.5174 5.5174
angles: 150.39 129.41 59.71
Closest atoms and distances in Å follow each position.
Sites, in units of the cell vectors:
Ta: 0.2367 0.7367 0.5000  6 Cu 2.76-2.81, 2 Ta 2.82, 2 Hg 3.01
Cu: 0.7652 0.2652 0.5000  4 Cu 2.52-2.82, 4 Ta 2.76, 2 Hg 2.78
Cu: 0.9833 0.9833 0.0000  4 Cu 2.52-2.82, 4 Hg 2.76, 2 Ta 2.81
Hg: 0.5148 0.5148 0.0000  6 Cu 2.76-2.78, 2 Hg 2.82, 2 Ta 3.01

Calculated values
density = 13.28 g cm⁻³
formation energy from the elements = 1.4 eV per formula unit
total DFT energy (no corrections) = -4.7433 eV/atom
space group = Imm2 (44)

No. 5
# LiMg2Pb5

Crystalline LiMg2Pb5 at its relaxed geometry (PBE-GGA, Alexandria via LeMat-Bulk).

abc: 6.5914 6.5889 6.5857
angles: 108.41 108.43 111.63
Closest atoms and distances in Å follow each position.
Sites, in units of the cell vectors:
Li: 0.7786 0.7783 0.0000  8 Pb 3.29-3.30
Mg: 0.2774 0.7777 0.5000  8 Pb 3.29-3.30
Mg: 0.7775 0.2778 0.5000  8 Pb 3.29-3.30
Pb: 0.2781 0.2783 0.5005  2 Li 3.29, 2 Pb 3.29, 4 Mg 3.29-3.30
Pb: 0.7779 0.2781 0.0000  4 Mg 3.29, 2 Li 3.29, 2 Pb 3.30
Pb: 0.2783 0.7775 0.0000  4 Mg 3.29, 2 Pb 3.29-3.30, 2 Li 3.30
Pb: 0.2777 0.2774 0.0000  8 Pb 3.29-3.30
Pb: 0.7776 0.7779 0.4995  2 Pb 3.29, 2 Li 3.29, 4 Mg 3.29-3.30

Calculated values
density = 8.24 g cm⁻³
formation energy from the elements = -0.5 eV per formula unit
total DFT energy (no corrections) = -3.0137 eV/atom
space group = I4mm (107)

No. 6
# InTeAs2

Crystalline InTeAs2 at its relaxed geometry (PBE-GGA, Alexandria via LeMat-Bulk).

abc: 3.4748 3.4748 8.4536
angles: 90.00 90.00 109.49
Closest atoms and distances in Å follow each position.
Sites, in units of the cell vectors:
As: 0.0000 0.0000 0.0135  2 In 2.83, 2 Te 3.00
As: 0.0000 0.0000 0.4865  2 In 2.83, 2 Te 3.00
In: 0.5000 0.5000 0.2500  4 As 2.83
Te: 0.5000 0.5000 0.7500  4 As 3.00

Calculated values
density = 6.77 g cm⁻³
total DFT energy (no corrections) = -3.4602 eV/atom
formation energy from raw total energies = 0.335 eV/atom
space group = Cmmm (65)

No. 7
# AgP2Ir

Crystalline AgP2Ir at its relaxed geometry (PBE-GGA, Alexandria via LeMat-Bulk).

abc: 7.1294 7.1294 7.1294
angles: 27.61 27.61 27.61
Closest atoms and distances in Å follow each position.
Sites, in units of the cell vectors:
P: 0.4847 0.4847 0.4847  3 Ir 2.41
P: 0.0153 0.0153 0.0153  3 Ir 2.41
Ag: 0.2500 0.2500 0.2500  6 P 2.82
Ir: 0.7500 0.7500 0.7500  6 P 2.41

Calculated values
density = 8.75 g cm⁻³
formation energy from the elements = 0.3 eV per formula unit
total DFT energy (no corrections) = -5.5482 eV/atom
space group = R-3m (166)

No. 8
# LiLaEuRu

Crystalline LiLaEuRu at its relaxed geometry (PBE-GGA, Alexandria via LeMat-Bulk).

abc: 5.1070 5.1070 5.1070
angles: 60.00 60.00 60.00
Closest atoms and distances in Å follow each position.
Sites, in units of the cell vectors:
La: 0.0000 0.0000 0.0000  4 Li 3.13, 4 Ru 3.13
Ru: 0.7500 0.7500 0.7500  4 Eu 3.13, 4 La 3.13
Li: 0.2500 0.2500 0.2500  4 La 3.13, 4 Eu 3.13
Eu: 0.5000 0.5000 0.5000  4 Ru 3.13, 4 Li 3.13

Calculated values
density = 7.03 g cm⁻³
formation energy from the elements = -0.1 eV per formula unit
total DFT energy (no corrections) = -6.6226 eV/atom
space group = F-43m (216)

No. 9
# TaZnBr2

Crystalline TaZnBr2 at its relaxed geometry (PBE-GGA, Alexandria via LeMat-Bulk).

abc: 3.3357 4.1438 8.2232
angles: 75.22 90.00 90.00
Closest atoms and distances in Å follow each position.
Sites, in units of the cell vectors:
Ta: 0.0000 0.2682 0.5893  3 Br 2.53-2.63, 4 Zn 2.74
Zn: 0.5000 0.7272 0.6704  4 Ta 2.74
Br: 0.0000 0.1067 0.9074  1 Ta 2.53
Br: 0.5000 0.3979 0.3329  2 Ta 2.63

Calculated values
density = 6.14 g cm⁻³
total DFT energy (no corrections) = -4.2955 eV/atom
formation energy from raw total energies = -0.177 eV/atom
space group = Pm (6)

No. 10
# NbTcSbPt2

Crystalline NbTcSbPt2 at its relaxed geometry (PBE-GGA, Alexandria via LeMat-Bulk).

abc: 4.8567 5.0979 4.8567
angles: 90.00 90.00 90.00
Closest atoms and distances in Å follow each position.
Sites, in units of the cell vectors:
Pt: 0.0000 0.0000 0.5000  2 Sb 2.43
Pt: 0.5000 0.0000 0.0000  2 Sb 2.43
Sb: 0.0000 0.0000 0.0000  4 Pt 2.43, 2 Nb 2.55
Tc: 0.5000 0.5000 0.5000  4 Nb 3.43, 8 Pt 3.52
Nb: 0.0000 0.5000 0.0000  2 Sb 2.55

Calculated values
density = 9.71 g cm⁻³
total DFT energy (no corrections) = -5.9071 eV/atom
formation energy from raw total energies = 1.421 eV/atom
space group = P4/mmm (123)

No. 11
# PrZrTe2

Crystalline PrZrTe2 at its relaxed geometry (PBE-GGA, Alexandria via LeMat-Bulk).

abc: 3.9481 3.9481 10.2514
angles: 78.90 78.90 60.00
Closest atoms and distances in Å follow each position.
Sites, in units of the cell vectors:
Zr: 0.5000 0.5000 0.5000  6 Te 2.92
Te: 0.1056 0.1056 0.6832  3 Zr 2.92, 1 Pr 3.17
Te: 0.8944 0.8944 0.3168  3 Zr 2.92, 1 Pr 3.17
Pr: 0.0000 0.0000 0.0000  2 Te 3.17

Calculated values
density = 6.00 g cm⁻³
total DFT energy (no corrections) = -5.5533 eV/atom
formation energy from raw total energies = -0.651 eV/atom
space group = R-3m (166)

No. 12
# Ga2BiF

Crystalline Ga2BiF at its relaxed geometry (PBE-GGA, Alexandria via LeMat-Bulk).

abc: 5.0857 5.0857 8.1383
angles: 71.79 71.79 90.00
Closest atoms and distances in Å follow each position.
Sites, in units of the cell vectors:
Bi: 0.7500 0.2500 0.5000  4 Ga 2.90
Bi: 0.0000 0.0000 0.0000  4 Ga 2.90
F: 0.5000 0.5000 0.0000  4 Ga 2.33
F: 0.2500 0.7500 0.5000  4 Ga 2.33
Ga: 0.8750 0.7596 0.7500  2 F 2.33
Ga: 0.3750 0.4904 0.7500  2 F 2.33
Ga: 0.5096 0.1250 0.2500  2 F 2.33
Ga: 0.2404 0.6250 0.2500  2 F 2.33

Calculated values
density = 6.46 g cm⁻³
total DFT energy (no corrections) = -3.5167 eV/atom
formation energy from raw total energies = -0.565 eV/atom
space group = I-42d (122)

No. 13
# LiHo4Te5

Crystalline LiHo4Te5 at its relaxed geometry (PBE-GGA, Alexandria via LeMat-Bulk).

abc: 6.1034 7.4746 7.4746
angles: 80.40 65.90 65.90
Closest atoms and distances in Å follow each position.
Sites, in units of the cell vectors:
Te: 0.2903 0.8074 0.6131  1 Li 2.95, 5 Ho 3.04-3.12
Te: 0.7108 0.1926 0.3869  1 Li 2.95, 5 Ho 3.04-3.12
Te: 0.5017 0.0000 0.0000  2 Li 3.04-3.07, 4 Ho 3.07
Te: 0.9034 0.3869 0.8074  1 Li 2.95, 5 Ho 3.04-3.12
Te: 0.0977 0.6131 0.1926  1 Li 2.95, 5 Ho 3.04-3.12
Ho: 0.4037 0.3998 0.7939  6 Te 3.04-3.12
Ho: 0.5974 0.6002 0.2061  6 Te 3.04-3.12
Ho: 0.8035 0.7939 0.6002  6 Te 3.04-3.12
Ho: 0.1976 0.2061 0.3998  6 Te 3.04-3.12
Li: 0.0042 0.0000 0.0000  6 Te 2.95-3.07

Calculated values
density = 7.62 g cm⁻³
total DFT energy (no corrections) = -4.8725 eV/atom
formation energy from raw total energies = -1.279 eV/atom
space group = I4 (79)

No. 14
# La2MgH8

Crystalline La2MgH8 at its relaxed geometry (PBE-GGA, Alexandria via LeMat-Bulk).

abc: 3.9870 5.0148 6.5814
angles: 112.38 107.63 90.00
Closest atoms and distances in Å follow each position.
Sites, in units of the cell vectors:
La: 0.8284 0.3284 0.6568  12 H 2.35-2.56
La: 0.1716 0.6716 0.3432  12 H 2.35-2.56
H: 0.6346 0.8858 0.2691  1 Mg 1.99
H: 0.3656 0.6164 0.7311  1 Mg 1.99
H: 0.6344 0.3836 0.2689  1 Mg 1.99
H: 0.3654 0.1142 0.7309  1 Mg 1.99
H: 0.0000 0.2454 0.0000  2 Mg 2.34, 2 La 2.35, 6 H 2.46-2.55
H: 0.0000 0.7546 0.0000  2 Mg 2.34, 2 La 2.35, 6 H 2.46-2.55
H: 0.7968 0.7967 0.5937  6 H 2.25-2.48, 2 La 2.46
H: 0.2032 0.2033 0.4063  6 H 2.25-2.48, 2 La 2.46
Mg: 0.5000 0.0000 0.0000  4 H 1.99

Calculated values
density = 4.48 g cm⁻³
total DFT energy (no corrections) = -3.9573 eV/atom
space group = Immm (71)

No. 15
# Sn2BiAu3

Crystalline Sn2BiAu3 at its relaxed geometry (PBE-GGA, Alexandria via LeMat-Bulk).

abc: 4.1501 7.5349 9.7897
angles: 105.27 90.00 90.00
Closest atoms and distances in Å follow each position.
Sites, in units of the cell vectors:
Sn: 0.2500 0.0057 0.1715  6 Au 2.82-2.90
Sn: 0.7500 0.9943 0.8285  6 Au 2.82-2.90
Sn: 0.2500 0.7652 0.4906  6 Au 2.86-2.91
Sn: 0.7500 0.2348 0.5094  6 Au 2.86-2.91
Au: 0.7500 0.7667 0.0160  3 Sn 2.82-2.90, 1 Au 2.92, 3 Bi 2.96-2.99
Au: 0.2500 0.3717 0.3581  4 Sn 2.88-2.91, 2 Bi 3.04
Au: 0.7500 0.8709 0.3247  5 Sn 2.86-2.90, 1 Au 2.92, 1 Bi 3.07
Au: 0.2500 0.1291 0.6753  5 Sn 2.86-2.90, 1 Au 2.92, 1 Bi 3.07
Au: 0.7500 0.6283 0.6419  4 Sn 2.88-2.91, 2 Bi 3.04
Au: 0.2500 0.2333 0.9840  3 Sn 2.82-2.90, 1 Au 2.92, 3 Bi 2.96-2.99
Bi: 0.7500 0.4635 0.1610  6 Au 2.96-3.07
Bi: 0.2500 0.5365 0.8390  6 Au 2.96-3.07

Calculated values
density = 11.67 g cm⁻³
formation energy from the elements = -0.6 eV per formula unit
total DFT energy (no corrections) = -3.7209 eV/atom
space group = P2_1/m (11)

No. 16
# Eu3Ag

Crystalline Eu3Ag at its relaxed geometry (PBE-GGA, Alexandria via LeMat-Bulk).

abc: 5.7141 5.7141 5.7141
angles: 60.00 60.00 60.00
Closest atoms and distances in Å follow each position.
Sites, in units of the cell vectors:
Eu: 0.0000 0.0000 0.0000  8 Eu 3.50
Eu: 0.2500 0.2500 0.2500  4 Eu 3.50, 4 Ag 3.50
Eu: 0.7500 0.7500 0.7500  4 Eu 3.50, 4 Ag 3.50
Ag: 0.5000 0.5000 0.5000  8 Eu 3.50

Calculated values
density = 7.10 g cm⁻³
formation energy from the elements = 0.0 eV per formula unit
total DFT energy (no corrections) = -8.4077 eV/atom
space group = Fm-3m (225)

No. 17
# Ce2TiMoN5

Crystalline Ce2TiMoN5 at its relaxed geometry (PBE-GGA, Alexandria via LeMat-Bulk).

abc: 3.3545 6.8030 10.1832
angles: 90.00 90.00 104.27
Closest atoms and distances in Å follow each position.
Sites, in units of the cell vectors:
N: 0.2820 0.5640 0.6522  2 Ti 2.23, 3 Ce 2.25-2.43
N: 0.3159 0.6319 0.3795  2 Ti 2.17, 1 Mo 2.18, 1 Ce 2.39
N: 0.3664 0.7328 0.0003  1 Ti 1.99, 1 Mo 2.22
N: 0.5079 0.0158 0.2825  1 Mo 1.92
N: 0.0528 0.1057 0.0559  2 Mo 1.94
N: 0.6336 0.2672 0.5003  1 Ti 1.99, 1 Mo 2.22
N: 0.6841 0.3681 0.8795  2 Ti 2.17, 1 Mo 2.18, 1 Ce 2.39
N: 0.4921 0.9842 0.7825  1 Mo 1.92
N: 0.7180 0.4360 0.1522  2 Ti 2.23, 3 Ce 2.25-2.43
N: 0.9472 0.8943 0.5559  2 Mo 1.94
Ti: 0.2153 0.4306 0.0079  6 N 1.99-2.23
Ti: 0.7847 0.5694 0.5079  6 N 1.99-2.23
Ce: 0.8541 0.7083 0.7969  7 N 2.39-2.67
Ce: 0.1459 0.2917 0.2969  7 N 2.39-2.67
Ce: 0.8864 0.7728 0.1848  1 N 2.25
Ce: 0.1136 0.2272 0.6848  1 N 2.25
Mo: 0.4679 0.9357 0.4640  3 N 1.92-1.94
Mo: 0.5321 0.0643 0.9640  3 N 1.92-1.94

Calculated values
density = 7.29 g cm⁻³
total DFT energy (no corrections) = -9.2455 eV/atom
formation energy from raw total energies = -1.221 eV/atom
space group = Cmc2_1 (36)

No. 18
# Pm2Pr4Nd2Ho

Crystalline Pm2Pr4Nd2Ho at its relaxed geometry (PBE-GGA, Alexandria via LeMat-Bulk).

abc: 3.7015 9.7642 9.8738
angles: 114.99 90.00 100.93
Closest atoms and distances in Å follow each position.
Sites, in units of the cell vectors:
Nd: 0.3346 0.6692 0.0011  3 Pr 3.61-3.64, 3 Pm 3.63-3.67, 2 Ho 3.68, 4 Nd 3.70-3.73
Nd: 0.6654 0.3308 0.9989  3 Pr 3.61-3.64, 3 Pm 3.63-3.67, 2 Ho 3.68, 4 Nd 3.70-3.73
Ho: 0.0000 0.0000 0.0000  6 Pr 3.63-3.65, 4 Nd 3.68, 2 Ho 3.70
Pr: 0.5178 0.0355 0.3293  1 Nd 3.61, 2 Ho 3.63, 4 Pm 3.68-3.70, 5 Pr 3.70-3.71
Pr: 0.4822 0.9645 0.6707  1 Nd 3.61, 2 Ho 3.63, 4 Pm 3.68-3.70, 5 Pr 3.70-3.71
Pr: 0.1851 0.3703 0.3309  2 Nd 3.64, 1 Ho 3.65, 6 Pr 3.69-3.70, 3 Pm 3.70
Pr: 0.8149 0.6298 0.6691  2 Nd 3.64, 1 Ho 3.65, 6 Pr 3.69-3.70, 3 Pm 3.70
Pm: 0.1480 0.2961 0.6692  3 Nd 3.63-3.67, 7 Pr 3.68-3.70, 2 Pm 3.70
Pm: 0.8520 0.7039 0.3308  3 Nd 3.63-3.67, 7 Pr 3.68-3.70, 2 Pm 3.70

Calculated values
density = 6.86 g cm⁻³
formation energy from the elements = 0.1 eV per formula unit
total DFT energy (no corrections) = -4.7329 eV/atom
space group = C2/m (12)

No. 19
# PrTmGa2Cu2

Crystalline PrTmGa2Cu2 at its relaxed geometry (PBE-GGA, Alexandria via LeMat-Bulk).

abc: 4.3669 4.3669 7.3419
angles: 90.00 90.00 120.00
Closest atoms and distances in Å follow each position.
Sites, in units of the cell vectors:
Ga: 0.6667 0.3333 0.7238  3 Cu 2.52
Ga: 0.3333 0.6667 0.2762  3 Cu 2.52
Cu: 0.3333 0.6667 0.7105  3 Ga 2.52
Cu: 0.6667 0.3333 0.2895  3 Ga 2.52
Pr: 0.0000 0.0000 0.0000  6 Ga 3.24, 6 Cu 3.30
Tm: 0.0000 0.0000 0.5000  6 Cu 2.96, 6 Ga 3.01

Calculated values
density = 7.89 g cm⁻³
formation energy from the elements = -2.9 eV per formula unit
total DFT energy (no corrections) = -4.3977 eV/atom
space group = P-3m1 (164)

No. 20
# Er7HgRh4

Crystalline Er7HgRh4 at its relaxed geometry (PBE-GGA, Alexandria via LeMat-Bulk).

abc: 5.4223 8.3341 7.2912
angles: 74.92 68.17 71.02
Closest atoms and distances in Å follow each position.
Sites, in units of the cell vectors:
Er: 0.5000 0.0000 0.0000  2 Hg 2.71, 4 Rh 2.75-2.82
Er: 0.6759 0.3768 0.2714  2 Rh 2.62-2.89
Er: 0.2130 0.1232 0.4509  4 Rh 2.90-3.16, 1 Er 3.17
Er: 0.7870 0.8768 0.5491  4 Rh 2.90-3.16, 1 Er 3.17
Er: 0.0743 0.6333 0.2180  1 Rh 2.64
Er: 0.3241 0.6232 0.7286  2 Rh 2.62-2.89
Er: 0.9257 0.3667 0.7820  1 Rh 2.64
Rh: 0.5666 0.2228 0.6440  3 Er 2.62-2.90
Rh: 0.7046 0.6547 0.9361  4 Er 2.64-2.91
Rh: 0.2954 0.3453 0.0639  4 Er 2.64-2.91
Rh: 0.4334 0.7772 0.3560  3 Er 2.62-2.90
Hg: 0.0000 0.0000 0.0000  4 Er 2.71-3.03

Calculated values
density = 10.37 g cm⁻³
formation energy from the elements = -6.3 eV per formula unit
total DFT energy (no corrections) = -5.6595 eV/atom
space group = C2/m (12)